# 1
VASP calculation (PBE-GGA) on a relaxed TiInB3 crystal.

* DFT total energy: -4.724 eV/atom
* offset from the most stable computed form: 0 meV per atom

Cell lengths 4.210, 4.210, 4.210 Å; angles 90.00, 90.00, 90.00 degrees
Space group Pm-3m (No. 221)
Symmetry-distinct sites (fractional):
Ti 0.000 0.000 0.000 [1 per cell]
In 0.500 0.500 0.500 [1 per cell]
B 0.000 0.000 0.500 [3 per cell]



# 2
VASP calculation (PBE-GGA) on a relaxed Ti2VInB crystal.

* DFT total energy: -7.135 eV/atom

Cell lengths 4.330, 4.330, 4.148 Å; angles 90.00, 90.00, 90.00 degrees
Space group P4/mmm (No. 123)
Symmetry-distinct sites (fractional):
Ti 0.000 0.500 0.000 [2 per cell]
V 0.000 0.000 0.500 [1 per cell]
In 0.500 0.500 0.500 [1 per cell]
B 0.000 0.000 0.000 [1 per cell]



# 3
VASP calculation (PBE-GGA) on a relaxed YTiInB2 crystal.

* DFT total energy: -4.601 eV/atom

Cell lengths 4.459, 4.459, 5.043 Å; angles 90.00, 90.00, 90.00 degrees
Space group P4/mmm (No. 123)
Symmetry-distinct sites (fractional):
Y 0.000 0.000 0.000 [1 per cell]
Ti 0.500 0.500 0.000 [1 per cell]
In 0.500 0.500 0.500 [1 per cell]
B 0.000 0.500 0.500 [2 per cell]



The evaluated ΔE_f for the records listed, in turn: 1.4088, -0.2703, 1.4896 eV per atom.